Entry 1:
A plane-wave DFT calculation with GGA-PBE was carried out for a relaxed structure of Zr2TlMo. Values from VASP.

Calculated values
ΔE_f = 0.041 eV/atom
N(E_F) = 0.63 states/eV per atom
SG = Fm-3m (225)
excess energy over the best structure of this formula in the dataset = 138 meV per atom
E = -30.1 eV per cell

```
&SYSTEM
  ibrav = 0, nat = 4, ntyp = 3
/
ATOMIC_SPECIES
Zr 91.22 Zr.upf
Tl 204.38 Tl.upf
Mo 95.94 Mo.upf
ATOMIC_POSITIONS angstrom
Zr 1.7308 1.7308 1.7308
Zr 5.1923 5.1923 5.1923
Tl 0.0000 0.0000 0.0000
Mo 3.4615 3.4615 3.4615
CELL_PARAMETERS angstrom
0.0000 3.4615 3.4615
3.4615 0.0000 3.4615
3.4615 3.4615 0.0000
```

=====

Entry 2:
A plane-wave DFT calculation with GGA-PBE was carried out for a relaxed structure of Zr2TlMo. Values from VASP.

Calculated values
ΔE_f = 0.126 eV/atom
N(E_F) = 1.21 states/eV per atom
SG = Imm2 (44)
excess energy over the best structure of this formula in the dataset = 223 meV per atom
E = -29.8 eV per cell

```
&SYSTEM
  ibrav = 0, nat = 4, ntyp = 3
/
ATOMIC_SPECIES
Zr 91.22 Zr.upf
Tl 204.38 Tl.upf
Mo 95.94 Mo.upf
ATOMIC_POSITIONS angstrom
Zr 0.0000 0.0000 0.0000
Zr 0.0000 2.3533 2.2923
Tl 0.0000 0.0000 4.5603
Mo 1.8275 0.0000 2.1756
CELL_PARAMETERS angstrom
-1.8275 2.3533 4.8619
1.8275 -2.3533 4.8619
1.8275 2.3533 -4.8619
```

=====

Entry 3:
A plane-wave DFT calculation with GGA-PBE was carried out for a relaxed structure of Zr2TlMo. Values from VASP.

Calculated values
ΔE_f = 0.711 eV/atom
N(E_F) = 1.02 states/eV per atom
SG = I-42d (122)
excess energy over the best structure of this formula in the dataset = 808 meV per atom
E = -54.9 eV per cell

```
&SYSTEM
  ibrav = 0, nat = 8, ntyp = 3
/
ATOMIC_SPECIES
Zr 91.22 Zr.upf
Tl 204.38 Tl.upf
Mo 95.94 Mo.upf
ATOMIC_POSITIONS angstrom
Zr 3.1234 0.9949 -2.5736
Zr 0.9949 1.0411 2.5736
Zr -1.0411 1.0873 7.7207
Zr 1.0873 1.0411 12.8678
Tl 2.0822 0.0000 5.1471
Tl 0.0000 0.0000 10.2943
Mo 0.0000 0.0000 0.0000
Mo 0.0000 2.0822 5.1471
CELL_PARAMETERS angstrom
-2.0822 2.0822 10.2943
2.0822 -2.0822 10.2943
2.0822 2.0822 -10.2943
```

=====

Entry 4:
A plane-wave DFT calculation with GGA-PBE was carried out for a relaxed structure of Zr3TlMo. Values from VASP.

Calculated values
ΔE_f = 1.764 eV/atom
N(E_F) = 2.29 states/eV per atom
SG = Pm-3m (221)
excess energy over the best structure of this formula in the dataset = 1139 meV per atom
E = -30.0 eV per cell

```
&SYSTEM
  ibrav = 0, nat = 5, ntyp = 3
/
ATOMIC_SPECIES
Zr 91.22 Zr.upf
Tl 204.38 Tl.upf
Mo 95.94 Mo.upf
ATOMIC_POSITIONS angstrom
Zr 0.0000 0.0000 2.6127
Zr 0.0000 2.6127 0.0000
Zr 2.6127 0.0000 0.0000
Tl 0.0000 0.0000 0.0000
Mo 2.6127 2.6127 2.6127
CELL_PARAMETERS angstrom
5.2254 0.0000 0.0000
0.0000 5.2254 0.0000
0.0000 0.0000 5.2254
```

=====

Entry 5:
A plane-wave DFT calculation with GGA-PBE was carried out for a relaxed structure of Zr6Tl3Mo. Values from VASP.

Calculated values
ΔE_f = 0.164 eV/atom
N(E_F) = 1.10 states/eV per atom
SG = C2/m (12)
E = -67.6 eV per cell

```
&SYSTEM
  ibrav = 0, nat = 10, ntyp = 3
/
ATOMIC_SPECIES
Zr 91.22 Zr.upf
Tl 204.38 Tl.upf
Mo 95.94 Mo.upf
ATOMIC_POSITIONS angstrom
Zr 3.3446 1.4302 1.3550
Zr 0.4335 0.0000 3.1145
Zr 4.9651 1.4302 6.2522
Zr 3.3446 -1.4302 1.3550
Zr 7.8762 0.0000 4.4926
Zr 4.9651 -1.4302 6.2522
Tl 2.2334 0.0000 6.2052
Tl 4.1548 0.0000 3.8036
Tl 6.0762 0.0000 1.4020
Mo 0.0000 0.0000 0.0000
CELL_PARAMETERS angstrom
5.3080 -2.8402 0.0000
5.3080 2.8402 0.0000
-2.3064 0.0000 7.6071
```

=====

Entry 6:
A plane-wave DFT calculation with GGA-PBE was carried out for a relaxed structure of Zr2TlMo2. Values from VASP.

Calculated values
ΔE_f = 0.183 eV/atom
N(E_F) = 0.90 states/eV per atom
SG = P4/mbm (127)
E = -80.4 eV per cell

```
&SYSTEM
  ibrav = 0, nat = 10, ntyp = 3
/
ATOMIC_SPECIES
Zr 91.22 Zr.upf
Tl 204.38 Tl.upf
Mo 95.94 Mo.upf
ATOMIC_POSITIONS angstrom
Zr 1.4624 2.3915 0.0000
Zr 2.3915 6.2453 0.0000
Zr 5.3162 1.4624 0.0000
Zr 6.2453 5.3162 0.0000
Tl 0.0000 0.0000 1.7460
Tl 3.8538 3.8538 1.7460
Mo 0.8089 4.6627 1.7460
Mo 3.0450 0.8089 1.7460
Mo 4.6627 6.8988 1.7460
Mo 6.8988 3.0450 1.7460
CELL_PARAMETERS angstrom
7.7077 0.0000 0.0000
0.0000 7.7077 0.0000
0.0000 0.0000 3.4920
```

=====

Entry 7:
A plane-wave DFT calculation with GGA-PBE was carried out for a relaxed structure of Zr2TlMo. Values from VASP.

Calculated values
ΔE_f = 0.336 eV/atom
N(E_F) = 1.44 states/eV per atom
SG = R3m (160)
excess energy over the best structure of this formula in the dataset = 433 meV per atom
E = -28.9 eV per cell

```
&SYSTEM
  ibrav = 0, nat = 4, ntyp = 3
/
ATOMIC_SPECIES
Zr 91.22 Zr.upf
Tl 204.38 Tl.upf
Mo 95.94 Mo.upf
ATOMIC_POSITIONS angstrom
Zr 0.0000 0.0000 0.0000
Zr 0.0000 0.0000 6.8319
Tl 0.0000 0.0000 21.2378
Mo 0.0000 0.0000 14.1848
CELL_PARAMETERS angstrom
1.6407 0.9472 9.3454
-1.6407 0.9472 9.3454
0.0000 -1.8945 9.3454
```

=====

Entry 8:
A plane-wave DFT calculation with GGA-PBE was carried out for a relaxed structure of Zr2TlMo. Values from VASP.

Calculated values
ΔE_f = 0.029 eV/atom
N(E_F) = 1.25 states/eV per atom
SG = Cmmm (65)
excess energy over the best structure of this formula in the dataset = 126 meV per atom
E = -30.2 eV per cell

```
&SYSTEM
  ibrav = 0, nat = 4, ntyp = 3
/
ATOMIC_SPECIES
Zr 91.22 Zr.upf
Tl 204.38 Tl.upf
Mo 95.94 Mo.upf
ATOMIC_POSITIONS angstrom
Zr 0.0000 0.0000 2.0600
Zr 0.0000 0.0000 7.2705
Tl 1.7674 0.0000 4.6652
Mo 1.7674 0.0000 0.0000
CELL_PARAMETERS angstrom
1.7674 -2.6092 0.0000
1.7674 2.6092 0.0000
0.0000 0.0000 9.3305
```

=====

Entry 9:
A plane-wave DFT calculation with GGA-PBE was carried out for a relaxed structure of Zr2TlMo. Values from VASP.

Calculated values
ΔE_f = 0.087 eV/atom
N(E_F) = 0.71 states/eV per atom
SG = Immm (71)
excess energy over the best structure of this formula in the dataset = 184 meV per atom
E = -29.9 eV per cell

```
&SYSTEM
  ibrav = 0, nat = 4, ntyp = 3
/
ATOMIC_SPECIES
Zr 91.22 Zr.upf
Tl 204.38 Tl.upf
Mo 95.94 Mo.upf
ATOMIC_POSITIONS angstrom
Zr 0.0000 0.0000 1.9803
Zr 0.0000 0.0000 6.8854
Tl 0.0000 2.4612 0.0000
Mo 1.9073 0.0000 0.0000
CELL_PARAMETERS angstrom
-1.9073 2.4612 4.4329
1.9073 -2.4612 4.4329
1.9073 2.4612 -4.4329
```

=====

Entry 10:
A plane-wave DFT calculation with GGA-PBE was carried out for a relaxed structure of Zr2TlMo. Values from VASP.

Calculated values
ΔE_f = 0.258 eV/atom
N(E_F) = 0.88 states/eV per atom
SG = C2/m (12)
excess energy over the best structure of this formula in the dataset = 355 meV per atom
E = -29.3 eV per cell

```
&SYSTEM
  ibrav = 0, nat = 4, ntyp = 3
/
ATOMIC_SPECIES
Zr 91.22 Zr.upf
Tl 204.38 Tl.upf
Mo 95.94 Mo.upf
ATOMIC_POSITIONS angstrom
Zr 2.2753 0.0000 1.4541
Zr 7.2119 0.0000 4.0912
Tl 4.9724 0.0000 0.0000
Mo -0.2288 0.0000 2.7727
CELL_PARAMETERS angstrom
4.9724 -1.5255 0.0000
4.9724 1.5255 0.0000
-0.4576 0.0000 5.5453
```

=====

Entry 11:
A plane-wave DFT calculation with GGA-PBE was carried out for a relaxed structure of Zr2TlMo. Values from VASP.

Calculated values
ΔE_f = 0.064 eV/atom
N(E_F) = 0.82 states/eV per atom
SG = P2/m (10)
excess energy over the best structure of this formula in the dataset = 161 meV per atom
E = -30.0 eV per cell

```
&SYSTEM
  ibrav = 0, nat = 4, ntyp = 3
/
ATOMIC_SPECIES
Zr 91.22 Zr.upf
Tl 204.38 Tl.upf
Mo 95.94 Mo.upf
ATOMIC_POSITIONS angstrom
Zr 0.0831 0.0000 1.6694
Zr 1.9247 0.0000 4.4608
Tl 1.5551 2.2005 0.0000
Mo 1.0039 2.2005 3.0651
CELL_PARAMETERS angstrom
3.1101 0.0000 0.0000
0.0000 4.4009 0.0000
-1.1024 0.0000 6.1302
```

=====

Entry 12:
A plane-wave DFT calculation with GGA-PBE was carried out for a relaxed structure of Zr2TlMo. Values from VASP.

Calculated values
ΔE_f = 0.149 eV/atom
N(E_F) = 1.19 states/eV per atom
SG = P4mm (99)
excess energy over the best structure of this formula in the dataset = 246 meV per atom
E = -29.7 eV per cell

```
&SYSTEM
  ibrav = 0, nat = 4, ntyp = 3
/
ATOMIC_SPECIES
Zr 91.22 Zr.upf
Tl 204.38 Tl.upf
Mo 95.94 Mo.upf
ATOMIC_POSITIONS angstrom
Zr 0.0000 0.0000 0.0000
Zr 1.7829 1.7829 1.7405
Tl 1.7829 1.7829 4.7784
Mo 0.0000 0.0000 3.1612
CELL_PARAMETERS angstrom
3.5659 0.0000 0.0000
0.0000 3.5659 0.0000
0.0000 0.0000 6.5148
```

=====

Entry 13:
A plane-wave DFT calculation with GGA-PBE was carried out for a relaxed structure of Zr2TlMo. Values from VASP.

Calculated values
ΔE_f = -0.097 eV/atom
N(E_F) = 0.91 states/eV per atom
SG = P4/mmm (123)
excess energy over the best structure of this formula in the dataset = 0 meV per atom
E = -30.7 eV per cell

```
&SYSTEM
  ibrav = 0, nat = 4, ntyp = 3
/
ATOMIC_SPECIES
Zr 91.22 Zr.upf
Tl 204.38 Tl.upf
Mo 95.94 Mo.upf
ATOMIC_POSITIONS angstrom
Zr 0.0000 0.0000 1.5349
Zr 0.0000 0.0000 5.3804
Tl 1.7417 1.7417 3.4577
Mo 1.7417 1.7417 0.0000
CELL_PARAMETERS angstrom
3.4834 0.0000 0.0000
0.0000 3.4834 0.0000
0.0000 0.0000 6.9153
```

=====

Entry 14:
A plane-wave DFT calculation with GGA-PBE was carried out for a relaxed structure of Zr2TlMo. Values from VASP.

Calculated values
ΔE_f = 0.269 eV/atom
N(E_F) = 1.40 states/eV per atom
SG = Cmm2 (35)
excess energy over the best structure of this formula in the dataset = 367 meV per atom
E = -29.2 eV per cell

```
&SYSTEM
  ibrav = 0, nat = 4, ntyp = 3
/
ATOMIC_SPECIES
Zr 91.22 Zr.upf
Tl 204.38 Tl.upf
Mo 95.94 Mo.upf
ATOMIC_POSITIONS angstrom
Zr 0.0000 0.0000 0.0000
Zr 1.7142 0.0000 2.6354
Tl 0.0000 0.0000 5.2522
Mo 1.7142 0.0000 7.6064
CELL_PARAMETERS angstrom
1.7142 -2.5730 0.0000
1.7142 2.5730 0.0000
0.0000 0.0000 9.6949
```